18
Lattice="-6.9655 3.7602 3.1018 6.9655 -3.7602 3.1018 6.9655 3.7602 -3.1018" Properties=species:S:1:pos:R:3 comment="Zn2Pd2Au5 | the Alexandria database | PBE | relaxed" energy_ha_per_atom=-0.1223 sg="Ima2 (46)" pbc="T T T"
Zn 0.0000 0.0000 0.0000
Zn 6.9655 0.0000 0.0000
Zn 3.4828 3.5028 2.8240
Zn -3.4828 4.0177 2.8240
Pd 1.9418 -0.2235 1.6836
Pd 5.0238 -0.2235 1.6836
Pd 5.0238 3.9837 -1.4182
Pd 8.9073 0.2235 1.6836
Au 3.4828 -1.3855 3.7819
Au 2.0897 2.4029 0.8529
Au 4.8758 2.4029 0.8529
Au -0.6479 2.4867 0.8224
Au 7.6134 2.4867 0.8224
Au 3.4828 5.1457 0.6801
Au 0.6479 5.0338 0.8224
Au -0.6479 1.2735 3.9241
Au 2.0897 1.3573 3.9546
Au 4.8758 1.3573 3.9546

---

16
Lattice="1.6803 -5.8162 0.0000 1.6803 5.8162 0.0000 0.0000 0.0000 11.6609" Properties=species:S:1:pos:R:3 comment="PmEr2VN4 | the Alexandria database | PBE | relaxed" sg="Cmcm (63)" raw_formation_energy_ev_per_atom=-1.400 pbc="T T T"
Pm 1.6803 4.8158 8.7457
Pm 1.6803 -4.8158 2.9152
Er 1.6803 1.5057 6.3235
Er 1.6803 1.5057 11.1679
Er 1.6803 -1.5057 0.4930
Er 1.6803 -1.5057 5.3374
V 1.6803 3.7949 2.9152
V 1.6803 -3.7949 8.7457
N 0.0000 0.0000 0.0000
N 0.0000 0.0000 5.8305
N 1.6803 2.7451 1.4453
N 1.6803 2.7451 4.3851
N 1.6803 0.8740 8.7457
N 1.6803 -0.8740 2.9152
N 1.6803 -2.7451 7.2758
N 1.6803 -2.7451 10.2156

---

5
Lattice="5.1567 0.0000 0.0000 0.0000 5.1567 0.0000 0.0000 0.0000 4.6625" Properties=species:S:1:pos:R:3 comment="CaTcAsSe2 | the Alexandria database | PBE | relaxed" e_above_lowest_polymorph_mev_per_atom=0.0 sg="P4/mmm (123)" raw_formation_energy_ev_per_atom=-0.300 pbc="T T T"
Ca 0.0000 0.0000 0.0000
Tc 2.5784 2.5784 2.3312
As 2.5784 2.5784 0.0000
Se 0.0000 2.5784 2.3312
Se 2.5784 0.0000 2.3312

---

9
Lattice="-2.5146 3.5989 6.9568 2.5146 -3.5989 6.9568 2.5146 3.5989 -6.9568" Properties=species:S:1:pos:R:3 comment="RbSm2NpS5 | the Alexandria database | PBE | relaxed" sg="Immm (71)" raw_formation_energy_ev_per_atom=-1.649 pbc="T T T"
Rb 0.0000 0.0000 0.0000
Sm 2.5146 0.0000 4.0873
Sm 0.0000 3.5989 2.8695
Np 0.0000 0.0000 6.9568
S 2.5146 1.9187 -2.1482
S 2.5146 1.9187 2.1482
S 0.0000 3.5989 0.0000
S 0.0000 1.6802 4.8086
S 0.0000 1.6802 9.1050

---

12
Lattice="3.4940 -6.9099 0.0000 3.4940 6.9099 0.0000 0.0000 0.0000 6.5426" Properties=species:S:1:pos:R:3 comment="BaMgCdAu3 | the Alexandria database | PBE | relaxed" energy_ha_per_atom=-0.1017 sg="Cmcm (63)" pbc="T T T"
Ba 3.4940 4.0528 4.9070
Ba 3.4940 -4.0528 1.6357
Mg 3.4940 0.4296 4.9070
Mg 3.4940 -0.4296 1.6357
Cd 3.4940 5.0601 1.6357
Cd 3.4940 -5.0601 4.9070
Au 1.4368 0.0000 0.0000
Au 1.4368 0.0000 3.2713
Au 3.4940 2.2987 1.6357
Au 3.4940 -2.2987 4.9070
Au 5.5511 0.0000 0.0000
Au 5.5511 0.0000 3.2713

---

4
Lattice="2.2938 1.3243 7.8646 -2.2938 1.3243 7.8646 0.0000 -2.6486 7.8646" Properties=species:S:1:pos:R:3 comment="RbScSb2 | the Alexandria database | PBE | relaxed" e_above_lowest_polymorph_mev_per_atom=81.3 sg="R-3m (166)" raw_formation_energy_ev_per_atom=-0.433 pbc="T T T"
Rb 0.0000 0.0000 0.0000
Sc 0.0000 0.0000 11.7969
Sb 0.0000 0.0000 5.2171
Sb 0.0000 0.0000 18.3768

---

6
Lattice="4.5964 0.0000 0.0000 -2.2982 3.9806 0.0000 0.0000 0.0000 7.6321" Properties=species:S:1:pos:R:3 comment="Li2CaAcSi2 | the Alexandria database | PBE | relaxed" sg="P-3m1 (164)" raw_formation_energy_ev_per_atom=-0.401 pbc="T T T"
Li 0.0000 2.6537 1.4399
Li 2.2982 1.3269 6.1922
Ca 0.0000 0.0000 0.0000
Ac 0.0000 0.0000 3.8161
Si 0.0000 2.6537 5.8341
Si 2.2982 1.3269 1.7980

---

4
Lattice="-1.6607 2.1321 4.6578 1.6607 -2.1321 4.6578 1.6607 2.1321 -4.6578" Properties=species:S:1:pos:R:3 comment="Mg2ReMo | the Alexandria database | PBE | relaxed" e_above_lowest_polymorph_mev_per_atom=177.4 sg="Immm (71)" pbc="T T T"
Mg 0.0000 0.0000 2.2936
Mg 0.0000 0.0000 7.0221
Re 1.6607 0.0000 0.0000
Mo 0.0000 2.1321 0.0000

---

5
Lattice="5.9625 0.0000 0.0000 0.0000 5.9625 0.0000 0.0000 0.0000 5.1585" Properties=species:S:1:pos:R:3 comment="Sr2MgVB | the Alexandria database | PBE | relaxed" e_above_lowest_polymorph_mev_per_atom=958.4 sg="P4/mmm (123)" pbc="T T T"
Sr 0.0000 2.9812 0.0000
Sr 2.9812 0.0000 0.0000
Mg 0.0000 0.0000 2.5793
V 0.0000 0.0000 0.0000
B 2.9812 2.9812 2.5793

---

14
Lattice="3.0675 1.7710 14.1686 -3.0675 1.7710 14.1686 0.0000 -3.5420 14.1686" Properties=species:S:1:pos:R:3 comment="SmDy3Er3 | the Alexandria database | PBE | relaxed" e_above_lowest_polymorph_mev_per_atom=133.1 sg="R-3 (148)" pbc="T T T"
Sm 0.0000 0.0000 7.0845
Sm 0.0000 0.0000 35.4211
Dy -2.0346 0.0005 15.6064
Dy -1.0177 -1.7618 26.8992
Dy 1.0169 -1.7622 15.6064
Dy -1.0169 1.7622 26.8992
Dy 1.0177 1.7618 15.6064
Dy 2.0346 -0.0005 26.8992
Er -1.0249 -1.7742 18.3989
Er -2.0489 0.0005 24.1067
Er -1.0240 1.7746 18.3989
Er 1.0240 -1.7746 24.1067
Er 2.0489 -0.0005 18.3989
Er 1.0249 1.7742 24.1067

---

12
Lattice="5.1487 0.0000 0.0000 0.0000 5.1487 0.0000 0.0000 0.0000 15.4473" Properties=species:S:1:pos:R:3 comment="Nd9Dy2Tm | the Alexandria database | PBE | relaxed" energy_ha_per_atom=-0.1727 sg="P4/mmm (123)" pbc="T T T"
Nd 0.0000 0.0000 0.0000
Nd 0.0000 0.0000 5.1415
Nd 0.0000 0.0000 10.3058
Nd 0.0000 2.5743 2.5639
Nd 0.0000 2.5743 7.7236
Nd 0.0000 2.5743 12.8834
Nd 2.5743 0.0000 2.5639
Nd 2.5743 0.0000 7.7236
Nd 2.5743 0.0000 12.8834
Dy 2.5743 2.5743 5.1401
Dy 2.5743 2.5743 10.3072
Tm 2.5743 2.5743 0.0000

---

5
Lattice="4.8760 0.0000 0.0000 0.0000 4.8760 0.0000 0.0000 0.0000 6.5825" Properties=species:S:1:pos:R:3 comment="SrMnIN2 | the Alexandria database | PBE | relaxed" e_above_lowest_polymorph_mev_per_atom=1007.0 sg="P4/mmm (123)" raw_formation_energy_ev_per_atom=1.441 pbc="T T T"
Sr 0.0000 0.0000 0.0000
Mn 2.4380 2.4380 3.2912
I 0.0000 0.0000 3.2912
N 0.0000 2.4380 0.0000
N 2.4380 0.0000 0.0000